P | Below is a geometry-optimized GaRh3Pb structure, with properties calculated at the PBE level.

- D(E_F) (states/eV/f.u.) = 1.38
- SG = Pm-3m (221)

Cell: 4.9529 4.9529 4.9529 Å, 90.00 90.00 90.00°
Element x y z (fractional)
Pb 0.0000 0.0000 0.0000
Rh 0.0000 0.5000 0.0000
Rh 0.0000 0.0000 0.5000
Rh 0.5000 0.0000 0.0000
Ga 0.5000 0.5000 0.5000


Q | Below is a geometry-optimized GaRh3Pb structure, with properties calculated at the PBE level.

- D(E_F) (states/eV/f.u.) = 0.88
- SG = Pm-3m (221)

Cell: 4.5790 4.5790 4.5790 Å, 90.00 90.00 90.00°
Element x y z (fractional)
Pb 0.5000 0.5000 0.5000
Rh 0.0000 0.5000 0.0000
Rh 0.0000 0.0000 0.5000
Rh 0.5000 0.0000 0.0000
Ga 0.0000 0.0000 0.0000


Short version: P is the least stable of them.


P | Below is a geometry-optimized GaRhPb3 structure, with properties calculated at the PBE level.

- D(E_F) (states/eV/f.u.) = 2.91
- SG = Pm-3m (221)

Cell: 5.3241 5.3241 5.3241 Å, 90.00 90.00 90.00°
Element x y z (fractional)
Pb 0.0000 0.5000 0.0000
Pb 0.0000 0.0000 0.5000
Pb 0.5000 0.0000 0.0000
Rh 0.5000 0.5000 0.5000
Ga 0.0000 0.0000 0.0000


Q | Below is a geometry-optimized GaRhPb3 structure, with properties calculated at the PBE level.

- D(E_F) (states/eV/f.u.) = 2.75
- SG = Pm-3m (221)

Cell: 5.3069 5.3069 5.3069 Å, 90.00 90.00 90.00°
Element x y z (fractional)
Pb 0.0000 0.5000 0.0000
Pb 0.0000 0.0000 0.5000
Pb 0.5000 0.0000 0.0000
Rh 0.0000 0.0000 0.0000
Ga 0.5000 0.5000 0.5000


Short version: P is the least stable of them.


P | Below is a geometry-optimized GaRuPb3 structure, with properties calculated at the PBE level.

- D(E_F) (states/eV/f.u.) = 4.68
- SG = Pm-3m (221)

Cell: 5.2808 5.2808 5.2808 Å, 90.00 90.00 90.00°
Element x y z (fractional)
Pb 0.0000 0.5000 0.0000
Pb 0.0000 0.0000 0.5000
Pb 0.5000 0.0000 0.0000
Ru 0.0000 0.0000 0.0000
Ga 0.5000 0.5000 0.5000


Q | Below is a geometry-optimized GaRuPb3 structure, with properties calculated at the PBE level.

- D(E_F) (states/eV/f.u.) = 4.26
- SG = Pm-3m (221)

Cell: 5.3836 5.3836 5.3836 Å, 90.00 90.00 90.00°
Element x y z (fractional)
Pb 0.0000 0.5000 0.0000
Pb 0.0000 0.0000 0.5000
Pb 0.5000 0.0000 0.0000
Ru 0.5000 0.5000 0.5000
Ga 0.0000 0.0000 0.0000


Short version: Q is the least stable of them.


P | Below is a geometry-optimized Tl2GaRuPb structure, with properties calculated at the PBE level.

- D(E_F) (states/eV/f.u.) = 3.94
- SG = P4/mmm (123)

Cell: 5.3296 4.8063 5.3296 Å, 90.00 90.00 90.00°
Element x y z (fractional)
Pb 0.5000 0.5000 0.5000
Ru 0.0000 0.0000 0.0000
Tl 0.0000 0.0000 0.5000
Tl 0.5000 0.0000 0.0000
Ga 0.0000 0.5000 0.0000


Q | Below is a geometry-optimized Tl2GaRuPb structure, with properties calculated at the PBE level.

- D(E_F) (states/eV/f.u.) = 5.11
- SG = P4/mmm (123)

Cell: 5.2702 5.4902 5.2702 Å, 90.00 90.00 90.00°
Element x y z (fractional)
Pb 0.0000 0.5000 0.0000
Ru 0.5000 0.5000 0.5000
Tl 0.0000 0.0000 0.5000
Tl 0.5000 0.0000 0.0000
Ga 0.0000 0.0000 0.0000


Short version: Q is the least stable of them.


P | Below is a geometry-optimized Ga2PbS structure, with properties calculated at the PBE level.

- D(E_F) (states/eV/f.u.) = 2.37
- SG = Fm-3m (225)

Cell: 5.0235 5.0235 5.0235 Å, 60.00 60.00 60.00°
Element x y z (fractional)
Pb 0.5000 0.5000 0.5000
S 0.0000 0.0000 0.0000
Ga 0.2500 0.2500 0.2500
Ga 0.7500 0.7500 0.7500


Q | Below is a geometry-optimized Ga2PbS structure, with properties calculated at the PBE level.

- D(E_F) (states/eV/f.u.) = 2.46
- SG = R-3m (166)

Cell: 3.5241 3.5241 9.4551 Å, 79.26 79.26 60.00°
Element x y z (fractional)
Pb 0.0000 0.0000 0.0000
S 0.5000 0.5000 0.5000
Ga 0.1076 0.1076 0.6771
Ga 0.8924 0.8924 0.3229


Short version: P is the least stable of them.


P | Below is a geometry-optimized Ga2Pb2S5 structure, with properties calculated at the PBE level.

- D(E_F) (states/eV/f.u.) = 0.00
- SG = Pbca (61)

Cell: 11.2926 12.1739 12.6152 Å, 90.00 90.00 90.00°
Element x y z (fractional)
Ga 0.7328 0.4605 0.5285
Ga 0.5639 0.2018 0.0431
Ga 0.7328 0.9605 0.9715
Ga 0.4361 0.2982 0.5431
Ga 0.0639 0.2982 0.0431
Ga 0.4361 0.7982 0.9569
Ga 0.7672 0.4605 0.0285
Ga 0.9361 0.7018 0.9569
Ga 0.0639 0.7982 0.4569
Ga 0.2328 0.5395 0.9715
Ga 0.5639 0.7018 0.4569
Ga 0.2672 0.0395 0.0285
Ga 0.7672 0.9605 0.4715
Ga 0.9361 0.2018 0.5431
Ga 0.2672 0.5395 0.4715
Ga 0.2328 0.0395 0.5285
Pb 0.7626 0.2493 0.8104
Pb 0.5088 0.0074 0.7111
Pb 0.9912 0.0074 0.2111
Pb 0.7374 0.2493 0.3104
Pb 0.4912 0.9926 0.2889
Pb 0.2626 0.7507 0.6896
Pb 0.2374 0.2507 0.3104
Pb 0.0088 0.4926 0.7111
Pb 0.5088 0.5074 0.7889
Pb 0.7374 0.7493 0.1896
Pb 0.9912 0.5074 0.2889
Pb 0.2374 0.7507 0.1896
Pb 0.4912 0.4926 0.2111
Pb 0.0088 0.9926 0.7889
Pb 0.2626 0.2507 0.8104
Pb 0.7626 0.7493 0.6896
S 0.2546 0.8629 0.4690
S 0.7546 0.6371 0.4690
S 0.9912 0.2137 0.7149
S 0.4080 0.6222 0.0282
S 0.9254 0.8854 0.5650
S 0.5746 0.8854 0.0650
S 0.7454 0.1371 0.5310
S 0.0088 0.2863 0.2149
S 0.7546 0.1371 0.0310
S 0.0088 0.7863 0.2851
S 0.2442 0.5270 0.7924
S 0.2558 0.5270 0.2924
S 0.4254 0.1146 0.9350
S 0.9080 0.8778 0.0282
S 0.7442 0.4730 0.7076
S 0.2454 0.3629 0.5310
S 0.0920 0.1222 0.9718
S 0.7558 0.9730 0.2924
S 0.4912 0.7863 0.7851
S 0.2546 0.3629 0.0310
S 0.5920 0.3778 0.9718
S 0.7442 0.9730 0.7924
S 0.7558 0.4730 0.2076
S 0.4254 0.6146 0.5650
S 0.0746 0.1146 0.4350
S 0.0920 0.6222 0.5282
S 0.0746 0.6146 0.0650
S 0.9254 0.3854 0.9350
S 0.7454 0.6371 0.9690
S 0.5746 0.3854 0.4350
S 0.2558 0.0270 0.2076
S 0.5920 0.8778 0.5282
S 0.2454 0.8629 0.9690
S 0.4912 0.2863 0.7149
S 0.9912 0.7137 0.7851
S 0.9080 0.3778 0.4718
S 0.5088 0.7137 0.2851
S 0.4080 0.1222 0.4718
S 0.5088 0.2137 0.2149
S 0.2442 0.0270 0.7076


Q | Below is a geometry-optimized Ga2Pb2S5 structure, with properties calculated at the PBE level.

- SG = C2/m (12)

Cell: 5.2418 6.8853 6.7553 Å, 105.02 90.00 112.37°
Element x y z (fractional)
Ga 0.1543 0.3087 0.8787
Ga 0.8457 0.6913 0.1213
Pb 0.3838 0.7675 0.6881
Pb 0.6162 0.2325 0.3119
S 0.3315 0.6631 0.0845
S 0.6685 0.3369 0.9155
S 0.1532 0.3064 0.5432
S 0.8468 0.6936 0.4568
S 0.0000 0.0000 0.0000


Short version: Q is the least stable of them.


P | Below is a geometry-optimized GaPb2S4 structure, with properties calculated at the PBE level.

- D(E_F) (states/eV/f.u.) = 5.45
- SG = P2_1/m (11)

Cell: 6.7924 6.8943 7.8330 Å, 90.00 107.33 90.00°
Element x y z (fractional)
Ga 0.2653 0.7500 0.1944
Ga 0.7347 0.2500 0.8056
Pb 0.7429 0.7500 0.0597
Pb 0.2571 0.2500 0.9403
Pb 0.2648 0.2500 0.4388
Pb 0.7352 0.7500 0.5612
S 0.4941 0.4965 0.2529
S 0.0635 0.7500 0.9047
S 0.9365 0.2500 0.0953
S 0.4941 0.0035 0.2529
S 0.9357 0.2500 0.6201
S 0.5059 0.9965 0.7471
S 0.5059 0.5035 0.7471
S 0.0643 0.7500 0.3799


Q | Below is a geometry-optimized GaPb2S4 structure, with properties calculated at the PBE level.

- D(E_F) (states/eV/f.u.) = 6.31
- SG = I4/mmm (139)

Cell: 4.7882 4.7882 7.9960 Å, 72.58 72.58 90.00°
Element x y z (fractional)
Pb 0.3640 0.3640 0.2719
Pb 0.6360 0.6360 0.7281
S 0.1690 0.1690 0.6620
S 0.8310 0.8310 0.3380
S 0.0000 0.5000 0.0000
S 0.5000 0.0000 0.0000
Ga 0.0000 0.0000 0.0000


Short version: Q is the least stable of them.


P | Below is a geometry-optimized Ga3PbS structure, with properties calculated at the PBE level.

- D(E_F) (states/eV/f.u.) = 4.58
- SG = Pm-3m (221)

Cell: 4.9743 4.9743 4.9743 Å, 90.00 90.00 90.00°
Element x y z (fractional)
Pb 0.5000 0.5000 0.5000
S 0.0000 0.0000 0.0000
Ga 0.0000 0.5000 0.0000
Ga 0.0000 0.0000 0.5000
Ga 0.5000 0.0000 0.0000


Q | Below is a geometry-optimized Ga3PbS structure, with properties calculated at the PBE level.

- D(E_F) (states/eV/f.u.) = 3.18
- SG = Pm-3m (221)

Cell: 5.4689 5.4689 5.4689 Å, 90.00 90.00 90.00°
Element x y z (fractional)
Pb 0.0000 0.0000 0.0000
S 0.5000 0.5000 0.5000
Ga 0.0000 0.5000 0.0000
Ga 0.0000 0.0000 0.5000
Ga 0.5000 0.0000 0.0000


Short version: Q is the least stable of them.


P | Below is a geometry-optimized GaSb2Pb structure, with properties calculated at the PBE level.

- D(E_F) (states/eV/f.u.) = 2.73
- SG = I-42d (122)

Cell: 6.6833 6.6833 8.0290 Å, 65.41 65.41 90.00°
Element x y z (fractional)
Pb 0.0000 0.0000 0.0000
Pb 0.7500 0.2500 0.5000
Sb 0.5800 0.1250 0.2500
Sb 0.1700 0.6250 0.2500
Sb 0.3750 0.4200 0.7500
Sb 0.8750 0.8300 0.7500
Ga 0.5000 0.5000 0.0000
Ga 0.2500 0.7500 0.5000


Q | Below is a geometry-optimized GaSb2Pb structure, with properties calculated at the PBE level.

- D(E_F) (states/eV/f.u.) = 1.69
- SG = P4/mmm (123)

Cell: 4.8744 4.7501 4.7501 Å, 90.00 90.00 90.00°
Element x y z (fractional)
Pb 0.5000 0.0000 0.0000
Sb 0.0000 0.0000 0.5000
Sb 0.0000 0.5000 0.0000
Ga 0.5000 0.5000 0.5000


R | Below is a geometry-optimized GaSb2Pb structure, with properties calculated at the PBE level.

- D(E_F) (states/eV/f.u.) = 1.83
- SG = P4/mmm (123)

Cell: 3.6850 3.6850 7.8119 Å, 90.00 90.00 90.00°
Element x y z (fractional)
Pb 0.5000 0.5000 0.5000
Sb 0.0000 0.0000 0.7846
Sb 0.0000 0.0000 0.2154
Ga 0.5000 0.5000 0.0000


Short version: R is the least stable of them.


P | Below is a geometry-optimized GaSb2Pb structure, with properties calculated at the PBE level.

- D(E_F) (states/eV/f.u.) = 2.27
- SG = Fm-3m (225)

Cell: 5.3552 5.3552 5.3552 Å, 60.00 60.00 60.00°
Element x y z (fractional)
Pb 0.5000 0.5000 0.5000
Sb 0.2500 0.2500 0.2500
Sb 0.7500 0.7500 0.7500
Ga 0.0000 0.0000 0.0000


Q | Below is a geometry-optimized GaSb2Pb structure, with properties calculated at the PBE level.

- D(E_F) (states/eV/f.u.) = 2.37
- SG = R3m (160)

Cell: 4.1165 4.1165 8.0135 Å, 75.12 75.12 60.00°
Element x y z (fractional)
Ga 0.6671 0.6671 0.9988
Sb 0.0700 0.0700 0.7901
Sb 0.2632 0.2632 0.2105
Pb 0.4998 0.4998 0.5006


Short version: P is the least stable of them.


P | Below is a geometry-optimized Ga2SbPb structure, with properties calculated at the PBE level.

- D(E_F) (states/eV/f.u.) = 1.59
- SG = R3m (160)

Cell: 4.2443 4.2443 7.2787 Å, 73.05 73.05 60.00°
Element x y z (fractional)
Ga 0.0740 0.0740 0.7780
Ga 0.2589 0.2589 0.2232
Sb 0.6678 0.6678 0.9966
Pb 0.4993 0.4993 0.5021


Q | Below is a geometry-optimized Ga2SbPb structure, with properties calculated at the PBE level.

- D(E_F) (states/eV/f.u.) = 1.79
- SG = R-3m (166)

Cell: 4.0400 4.0400 9.1595 Å, 77.26 77.26 60.00°
Element x y z (fractional)
Pb 0.0000 0.0000 0.0000
Sb 0.5000 0.5000 0.5000
Ga 0.1090 0.1090 0.6730
Ga 0.8910 0.8910 0.3270


R | Below is a geometry-optimized Ga2SbPb structure, with properties calculated at the PBE level.

- D(E_F) (states/eV/f.u.) = 1.65
- SG = I-42d (122)

Cell: 6.4149 6.4149 7.6549 Å, 65.23 65.23 90.00°
Element x y z (fractional)
Pb 0.0000 0.0000 0.0000
Pb 0.7500 0.2500 0.5000
Sb 0.5000 0.5000 0.0000
Sb 0.2500 0.7500 0.5000
Ga 0.6140 0.1250 0.2500
Ga 0.1360 0.6250 0.2500
Ga 0.3750 0.3860 0.7500
Ga 0.8750 0.8640 0.7500


Short version: Q is the least stable of them.